Compound: Sb2TePI
Source: Alexandria via LeMat-Bulk
Functional: PBE
Structure: relaxed

Lattice parameters (Å, degrees): 5.8230 5.8230 5.5971 90.00 90.00 90.00
Sites, in units of the cell vectors:
Sb1 0.0000 0.5000 0.0000
Sb2 0.5000 0.0000 0.0000
Te1 0.0000 0.0000 0.5000
P1 0.5000 0.5000 0.5000
I1 0.0000 0.0000 0.0000

Properties
- Mass density: 4.63 Mg/m³
- Relative energy among the computed polymorphs: 1008.6 meV/atom
- Final energy: -2.143 eV/atom



Compound: TlSbPI2
Source: Alexandria via LeMat-Bulk
Functional: PBE
Structure: relaxed

Lattice parameters (Å, degrees): 6.0874 6.0874 5.9815 90.00 90.00 90.00
Sites, in units of the cell vectors:
Tl1 0.0000 0.0000 0.0000
Sb1 0.0000 0.0000 0.5000
P1 0.5000 0.5000 0.5000
I1 0.0000 0.5000 0.0000
I2 0.5000 0.0000 0.0000

Properties
- Mass density: 4.58 Mg/m³
- Relative energy among the computed polymorphs: 688.0 meV/atom
- Final energy: -2.110 eV/atom



Compound: TlSb2PI
Source: Alexandria via LeMat-Bulk
Functional: PBE
Structure: relaxed

Lattice parameters (Å, degrees): 5.7608 5.7608 5.7318 90.00 90.00 90.00
Sites, in units of the cell vectors:
Tl1 0.0000 0.0000 0.0000
Sb1 0.0000 0.5000 0.0000
Sb2 0.5000 0.0000 0.0000
P1 0.5000 0.5000 0.5000
I1 0.0000 0.0000 0.5000

Properties
- Mass density: 5.29 Mg/m³
- Relative energy among the computed polymorphs: 868.2 meV/atom
- Final energy: -2.267 eV/atom



Compound: TlSbPI2
Source: Alexandria via LeMat-Bulk
Functional: PBE
Structure: relaxed

Lattice parameters (Å, degrees): 5.6080 5.6080 5.3926 90.00 90.00 90.00
Sites, in units of the cell vectors:
Tl1 0.0000 0.0000 0.0000
Sb1 0.5000 0.5000 0.0000
P1 0.5000 0.5000 0.5000
I1 0.0000 0.5000 0.5000
I2 0.5000 0.0000 0.5000

Properties
- Mass density: 5.98 Mg/m³
- Relative energy among the computed polymorphs: 0.0 meV/atom
- Final energy: -2.798 eV/atom